1.
Crystalline PaFeAs2 at its relaxed geometry. Source: Alexandria via LeMat-Bulk, functional PBE-GGA.

ΔH_f (0 K) = -2.908 eV per formula unit
space group = P4/nmm (129)
density = 10.05 g/cm³
spin magnetization = 0.00 μB/f.u.
E = -60.3 eV/cell
volume = 72 Å³/f.u.

Cell lengths 3.998, 3.998, 9.027 Å; angles 90.00, 90.00, 90.00 degrees
Fractional positions:
Pa  0.250  0.250  0.246
Pa  0.750  0.750  0.754
Fe  0.250  0.750  0.000
Fe  0.750  0.250  0.000
As  0.250  0.250  0.853
As  0.250  0.750  0.500
As  0.750  0.250  0.500
As  0.750  0.750  0.147

2.
Crystalline PaFe5As3 at its relaxed geometry. Source: Alexandria via LeMat-Bulk, functional PBE-GGA.

ΔH_f (0 K) = -2.537 eV per formula unit
space group = Cmcm (63)
density = 9.28 g/cm³
spin magnetization = 5.40 μB/f.u.
E = -136.6 eV/cell
volume = 131 Å³/f.u.

Cell lengths 6.604, 6.604, 10.747 Å; angles 90.00, 90.00, 145.87 degrees
Fractional positions:
Pa  0.218  0.782  0.750
Pa  0.782  0.218  0.250
Fe  0.000  0.000  0.000
Fe  0.000  0.000  0.500
Fe  0.187  0.813  0.059
Fe  0.187  0.813  0.441
Fe  0.455  0.545  0.632
Fe  0.455  0.545  0.868
Fe  0.545  0.455  0.132
Fe  0.545  0.455  0.368
Fe  0.813  0.187  0.559
Fe  0.813  0.187  0.941
As  0.094  0.906  0.250
As  0.368  0.632  0.060
As  0.368  0.632  0.440
As  0.632  0.368  0.560
As  0.632  0.368  0.940
As  0.906  0.094  0.750

3.
Crystalline PaFeAs at its relaxed geometry. Source: Alexandria via LeMat-Bulk, functional PBE-GGA.

ΔH_f (0 K) = -1.700 eV per formula unit
space group = C2/m (12)
density = 10.96 g/cm³
spin magnetization = 0.98 μB/f.u.
E = -48.6 eV/cell
volume = 55 Å³/f.u.

Cell lengths 5.566, 5.566, 6.696 Å; angles 125.45, 125.45, 42.43 degrees
Fractional positions:
Pa  0.044  0.044  0.300
Pa  0.956  0.956  0.700
Fe  0.362  0.362  0.914
Fe  0.638  0.638  0.086
As  0.307  0.307  0.252
As  0.693  0.693  0.748

4.
Crystalline Pa2FeAs at its relaxed geometry. Source: Alexandria via LeMat-Bulk, functional PBE-GGA.

ΔH_f (0 K) = -2.360 eV per formula unit
space group = P2_1/m (11)
density = 12.11 g/cm³
spin magnetization = 0.00 μB/f.u.
E = -68.9 eV/cell
volume = 81 Å³/f.u.

Cell lengths 5.884, 3.712, 8.005 Å; angles 90.00, 111.54, 90.00 degrees
Fractional positions:
Pa  0.178  0.250  0.391
Pa  0.257  0.750  0.048
Pa  0.743  0.250  0.952
Pa  0.822  0.750  0.609
Fe  0.143  0.250  0.788
Fe  0.857  0.750  0.212
As  0.370  0.750  0.703
As  0.630  0.250  0.297

5.
Crystalline Pa2FeAs at its relaxed geometry. Source: Alexandria via LeMat-Bulk, functional PBE-GGA.

ΔH_f (0 K) = -2.114 eV per formula unit
space group = R-3m (166)
density = 11.20 g/cm³
spin magnetization = 0.00 μB/f.u.
E = -34.2 eV/cell
volume = 88 Å³/f.u.

Cell lengths 7.274, 7.274, 7.274 Å; angles 30.51, 30.51, 30.51 degrees
Fractional positions:
Pa  0.238  0.238  0.238
Pa  0.762  0.762  0.762
Fe  0.500  0.500  0.500
As  0.000  0.000  0.000

6.
Crystalline PaFeAsS at its relaxed geometry. Source: Alexandria via LeMat-Bulk, functional PBE-GGA.

energy relative to the elements, uncorrected = -0.949 eV/atom
space group = P4/nmm (129)
density = 9.41 g/cm³
spin magnetization = 0.00 μB/f.u.
E = -61.1 eV/cell
volume = 70 Å³/f.u.

Cell lengths 4.103, 4.103, 8.260 Å; angles 90.00, 90.00, 90.00 degrees
Fractional positions:
Pa  0.250  0.250  0.223
Pa  0.750  0.750  0.777
Fe  0.250  0.750  0.500
Fe  0.750  0.250  0.500
As  0.250  0.250  0.650
As  0.750  0.750  0.350
S  0.250  0.750  0.000
S  0.750  0.250  0.000

7.
Crystalline PaFeAsSe at its relaxed geometry. Source: Alexandria via LeMat-Bulk, functional PBE-GGA.

energy relative to the elements, uncorrected = -0.796 eV/atom
space group = P4/nmm (129)
density = 10.04 g/cm³
spin magnetization = 0.12 μB/f.u.
E = -58.6 eV/cell
volume = 73 Å³/f.u.

Cell lengths 4.119, 4.119, 8.596 Å; angles 90.00, 90.00, 90.00 degrees
Fractional positions:
Pa  0.250  0.250  0.249
Pa  0.750  0.750  0.751
Fe  0.250  0.750  0.500
Fe  0.750  0.250  0.500
As  0.250  0.250  0.649
As  0.750  0.750  0.351
Se  0.250  0.750  0.000
Se  0.750  0.250  0.000

8.
Crystalline FeAs2Pb at its relaxed geometry. Source: Alexandria via LeMat-Bulk, functional PBE-GGA.

ΔH_f (0 K) = 0.327 eV per formula unit
space group = P4/mmm (123)
density = 8.74 g/cm³
spin magnetization = 1.29 μB/f.u.
E = -21.1 eV/cell
volume = 78 Å³/f.u.

Cell lengths 3.053, 3.053, 8.410 Å; angles 90.00, 90.00, 90.00 degrees
Fractional positions:
Fe  0.000  0.000  0.000
As  0.500  0.500  0.167
As  0.500  0.500  0.833
Pb  0.000  0.000  0.500

Which formula does entry 6 have? PaFeAsS

What is the formula in the second record? PaFe5As3